Entry 1:
DySc2Au6: optimized geometry, PBE-GGA.

Calculated values
Formation energy = -6.727 eV per formula unit

abc: 5.177 5.118 8.172
angles: 71.75 80.97 59.92
Atoms (fractional coordinates):
Dy  0.000  0.000  0.500
Sc  0.500  0.834  0.832
Sc  0.500  0.166  0.168
Au  0.171  0.832  0.162
Au  0.829  0.506  0.162
Au  0.829  0.168  0.838
Au  0.171  0.494  0.838
Au  0.330  0.326  0.500
Au  0.670  0.674  0.500

---

Entry 2:
TbSm2PuBi4: optimized geometry, PBE-GGA.

Calculated values
Formation energy = -6.064 eV per formula unit

abc: 4.541 7.857 7.858
angles: 109.42 90.00 90.00
Site moments in Bohr magnetons follow the coordinates.
Atoms (fractional coordinates):
Tb  0.000  0.000  0.000  -0.01
Sm  0.500  0.000  0.500  -0.03
Sm  0.000  0.500  0.500  0.00
Pu  0.500  0.500  0.000  5.29
Bi  0.500  0.248  0.246  -0.04
Bi  0.500  0.752  0.754  -0.04
Bi  0.000  0.250  0.753  -0.08
Bi  0.000  0.750  0.247  -0.08

---

Entry 3:
Gd4Sb2H: optimized geometry, PBE-GGA.

Calculated values
E_tot = -10.544 eV/atom

abc: 4.527 4.527 9.139
angles: 75.66 75.66 90.00
Site moments in Bohr magnetons follow the coordinates.
Atoms (fractional coordinates):
Sb  0.637  0.637  0.727  0.06
Sb  0.363  0.363  0.273  0.06
Gd  0.821  0.821  0.357  -7.17
Gd  0.179  0.179  0.643  -7.17
Gd  0.000  0.500  0.000  -7.40
Gd  0.500  0.000  0.000  -7.40
H  0.000  0.000  0.000  0.02

---

Entry 4:
Sm2Y2Hg: optimized geometry, PBE-GGA.

Calculated values
Formation energy = -0.280 eV per formula unit

abc: 5.144 5.144 12.865
angles: 101.53 101.53 90.00
Atoms (fractional coordinates):
Sm  0.422  0.922  0.843
Sm  0.672  0.672  0.343
Sm  0.328  0.328  0.657
Sm  0.078  0.578  0.157
Y  0.820  0.820  0.640
Y  0.570  0.070  0.140
Y  0.930  0.430  0.860
Y  0.180  0.180  0.360
Hg  0.500  0.500  0.000
Hg  0.250  0.750  0.500

---

Entry 5:
CaTeAsPd2: optimized geometry, PBE-GGA.

Calculated values
Uncorrected formation energy = 91 meV/atom

abc: 4.960 5.760 4.960
angles: 90.00 90.00 90.00
Atoms (fractional coordinates):
As  0.500  0.500  0.500
Te  0.000  0.000  0.000
Ca  0.000  0.500  0.000
Pd  0.000  0.000  0.500
Pd  0.500  0.000  0.000

---

Entry 6:
PuAlGa3: optimized geometry, PBE-GGA.

Calculated values
Formation energy = -1.324 eV per formula unit

abc: 5.666 5.922 5.699
angles: 90.00 88.39 90.00
Site moments in Bohr magnetons follow the coordinates.
Atoms (fractional coordinates):
Pu  0.678  0.750  0.357  -5.37
Pu  0.322  0.250  0.643  -5.37
Al  0.455  0.750  0.875  0.00
Al  0.545  0.250  0.125  0.00
Ga  0.840  0.998  0.839  0.02
Ga  0.160  0.002  0.161  0.02
Ga  0.840  0.502  0.839  0.02
Ga  0.160  0.498  0.161  0.02
Ga  0.161  0.750  0.551  0.00
Ga  0.839  0.250  0.449  0.00

---

Entry 7:
Cd5CuRh: optimized geometry, PBE-GGA.

Calculated values
Formation energy = 0.716 eV per formula unit

abc: 7.824 7.824 8.677
angles: 48.70 48.70 72.77
Atoms (fractional coordinates):
Cd  0.691  0.896  0.001
Cd  0.217  0.534  0.619
Cd  0.896  0.691  0.501
Cd  0.815  0.185  0.250
Cd  0.466  0.783  0.881
Cd  0.534  0.217  0.119
Cd  0.185  0.815  0.750
Cd  0.104  0.309  0.499
Cd  0.783  0.466  0.381
Cd  0.309  0.104  0.999
Cu  0.537  0.463  0.250
Cu  0.463  0.537  0.750
Rh  0.000  0.000  0.000
Rh  0.000  0.000  0.500

---

Entry 8:
PbAuS2Cl: optimized geometry, PBE-GGA.

Calculated values
Uncorrected formation energy = 30 meV/atom

abc: 4.957 4.957 4.974
angles: 90.00 90.00 90.00
Atoms (fractional coordinates):
Pb  0.500  0.500  0.500
S  0.000  0.500  0.000
S  0.500  0.000  0.000
Au  0.000  0.000  0.000
Cl  0.000  0.000  0.500

---

Entry 9:
SrLiAlTl2: optimized geometry, PBE-GGA.

Calculated values
Formation energy = 1.229 eV per formula unit

abc: 5.440 5.440 6.046
angles: 90.00 90.00 90.00
Atoms (fractional coordinates):
Sr  0.000  0.000  0.500
Tl  0.000  0.500  0.000
Tl  0.500  0.000  0.000
Al  0.000  0.000  0.000
Li  0.500  0.500  0.500

---

Entry 10:
CrCo2Te4: optimized geometry, PBE-GGA.

Calculated values
Uncorrected formation energy = -22 meV/atom

abc: 3.854 6.669 6.568
angles: 109.42 90.00 90.00
Site moments in Bohr magnetons follow the coordinates.
Atoms (fractional coordinates):
Cr  0.000  0.000  0.000  3.49
Te  0.500  0.252  0.279  -0.07
Te  0.500  0.748  0.721  -0.07
Te  0.000  0.231  0.716  -0.06
Te  0.000  0.769  0.284  -0.06
Co  0.000  0.500  0.500  1.03
Co  0.500  0.000  0.500  0.02

---

Entry 11:
Co2Ag: optimized geometry, PBE-GGA.

Calculated values
Formation energy = 1.180 eV per formula unit

abc: 5.131 5.131 6.252
angles: 74.84 74.84 30.53
Site moments in Bohr magnetons follow the coordinates.
Atoms (fractional coordinates):
Co  0.613  0.613  0.288  1.81
Co  0.961  0.961  0.609  1.77
Co  0.658  0.658  0.672  1.75
Co  0.276  0.276  0.904  1.81
Ag  0.997  0.997  0.005  0.02
Ag  0.328  0.328  0.355  0.02

---

Entry 12:
NaNdPtAu: optimized geometry, PBE-GGA.

Calculated values
Formation energy = -2.504 eV per formula unit

abc: 5.020 5.020 5.020
angles: 60.00 60.00 60.00
Atoms (fractional coordinates):
Nd  0.000  0.000  0.000
Au  0.250  0.250  0.250
Pt  0.750  0.750  0.750
Na  0.500  0.500  0.500

---

Entry 13:
YZnCu: optimized geometry, PBE-GGA.

Calculated values
Formation energy = 0.857 eV per formula unit

abc: 4.654 4.654 4.654
angles: 60.00 60.00 60.00
Atoms (fractional coordinates):
Cu  0.500  0.500  0.500
Y  0.750  0.750  0.750
Zn  0.000  0.000  0.000

---

Entry 14:
Th2BiRh: optimized geometry, PBE-GGA.

Calculated values
Formation energy = -2.869 eV per formula unit

abc: 4.239 4.239 8.005
angles: 74.65 74.65 60.00
Atoms (fractional coordinates):
Rh  0.000  0.000  0.000
Bi  0.500  0.500  0.500
Th  0.264  0.264  0.207
Th  0.736  0.736  0.793

---

Entry 15:
HfSn2H2: optimized geometry, PBE-GGA.

Calculated values
E_tot = -4.739 eV/atom

abc: 6.720 6.720 3.420
angles: 90.00 90.00 90.00
Atoms (fractional coordinates):
H  0.303  0.803  0.000
H  0.803  0.697  0.000
H  0.697  0.197  0.000
H  0.197  0.303  0.000
Hf  0.000  0.000  0.000
Hf  0.500  0.500  0.000
Sn  0.151  0.651  0.500
Sn  0.651  0.849  0.500
Sn  0.849  0.349  0.500
Sn  0.349  0.151  0.500

---

Entry 16:
Na2Ga3Sn5: optimized geometry, PBE-GGA.

Calculated values
Formation energy = -0.653 eV per formula unit

abc: 7.128 9.648 9.648
angles: 70.06 68.32 68.32
Atoms (fractional coordinates):
Na  0.128  0.626  0.118
Na  0.628  0.118  0.626
Na  0.872  0.374  0.882
Na  0.372  0.882  0.374
Ga  0.377  0.497  0.748
Ga  0.877  0.748  0.497
Ga  0.623  0.503  0.252
Ga  0.123  0.252  0.503
Ga  0.250  0.000  0.000
Ga  0.750  0.000  0.000
Sn  0.386  0.247  0.982
Sn  0.886  0.982  0.247
Sn  0.614  0.753  0.018
Sn  0.114  0.018  0.753
Sn  0.504  0.746  0.746
Sn  0.496  0.254  0.254
Sn  0.750  0.500  0.500
Sn  0.250  0.500  0.500
Sn  0.996  0.254  0.254
Sn  0.004  0.746  0.746

---

Entry 17:
Pm2InGa3Ni4: optimized geometry, PBE-GGA.

Calculated values
Formation energy = -4.937 eV per formula unit

abc: 4.272 4.272 9.760
angles: 90.00 90.00 90.00
Atoms (fractional coordinates):
Pm  0.500  0.000  0.236
Pm  0.000  0.500  0.764
In  0.500  0.500  0.500
Ga  0.000  0.000  0.500
Ga  0.500  0.000  0.885
Ga  0.000  0.500  0.115
Ni  0.500  0.500  0.000
Ni  0.000  0.000  0.000
Ni  0.500  0.000  0.643
Ni  0.000  0.500  0.357

---

Entry 18:
CoCu2ReRh: optimized geometry, PBE-GGA.

Calculated values
Formation energy = 6.463 eV per formula unit

abc: 4.288 4.281 4.288
angles: 90.00 90.00 90.00
Site moments in Bohr magnetons follow the coordinates.
Atoms (fractional coordinates):
Re  0.000  0.500  0.000  0.39
Rh  0.500  0.500  0.500  0.07
Cu  0.000  0.000  0.500  0.03
Cu  0.500  0.000  0.000  0.02
Co  0.000  0.000  0.000  0.14

---

Entry 19:
PmPr4Pt4: optimized geometry, PBE-GGA.

Calculated values
Formation energy = -8.475 eV per formula unit

abc: 5.943 9.410 9.410
angles: 90.00 90.00 90.00
Atoms (fractional coordinates):
Pm  0.000  0.000  0.000
Pm  0.500  0.500  0.500
Pr  0.499  0.310  0.900
Pr  0.999  0.600  0.810
Pr  0.499  0.690  0.100
Pr  0.001  0.190  0.600
Pr  0.501  0.900  0.690
Pr  0.001  0.810  0.400
Pr  0.999  0.400  0.190
Pr  0.501  0.100  0.310
Pt  0.501  0.793  0.399
Pt  0.501  0.207  0.601
Pt  0.001  0.899  0.707
Pt  0.999  0.293  0.899
Pt  0.999  0.707  0.101
Pt  0.499  0.399  0.207
Pt  0.499  0.601  0.793
Pt  0.001  0.101  0.293

---

Entry 20:
MnAlFe2Tc: optimized geometry, PBE-GGA.

Calculated values
Formation energy = 7.042 eV per formula unit

abc: 4.167 4.215 4.167
angles: 90.00 90.00 90.00
Site moments in Bohr magnetons follow the coordinates.
Atoms (fractional coordinates):
Al  0.000  0.000  0.000  -0.07
Mn  0.000  0.500  0.000  0.57
Tc  0.500  0.500  0.500  -1.36
Fe  0.000  0.000  0.500  2.12
Fe  0.500  0.000  0.000  1.93

---

Entry 21:
LaVN3: optimized geometry, PBE-GGA.

Calculated values
Uncorrected formation energy = -757 meV/atom

abc: 3.838 5.467 3.123
angles: 106.60 90.00 86.80
Site moments in Bohr magnetons follow the coordinates.
Atoms (fractional coordinates):
V  0.198  0.134  0.756  0.56
La  0.705  0.606  0.493  -0.01
N  0.524  0.991  0.185  -0.01
N  0.868  0.064  0.222  -0.03
N  0.221  0.469  0.924  -0.03

---

Entry 22:
NbOF3: optimized geometry, PBE-GGA.

Calculated values
Uncorrected formation energy = -2916 meV/atom

abc: 5.197 5.832 9.574
angles: 90.00 90.00 90.00
Atoms (fractional coordinates):
Nb  0.137  0.908  0.358
Nb  0.363  0.092  0.858
Nb  0.863  0.408  0.142
Nb  0.637  0.592  0.642
O  0.519  0.888  0.741
O  0.981  0.112  0.241
O  0.481  0.388  0.759
O  0.019  0.612  0.259
F  0.846  0.833  0.491
F  0.238  0.878  0.991
F  0.043  0.124  0.766
F  0.457  0.876  0.266
F  0.262  0.122  0.491
F  0.654  0.167  0.991
F  0.154  0.333  0.009
F  0.762  0.378  0.509
F  0.957  0.624  0.734
F  0.543  0.376  0.234
F  0.738  0.622  0.009
F  0.346  0.667  0.509

---

Entry 23:
KBaAl2Cl: optimized geometry, PBE-GGA.

Calculated values
Uncorrected formation energy = 206 meV/atom

abc: 6.059 5.479 6.059
angles: 90.00 90.00 90.00
Atoms (fractional coordinates):
K  0.000  0.000  0.000
Al  0.000  0.000  0.500
Al  0.500  0.000  0.000
Ba  0.500  0.500  0.500
Cl  0.000  0.500  0.000

---

Entry 24:
Rb2ZrMoSe: optimized geometry, PBE-GGA.

Calculated values
Uncorrected formation energy = 1155 meV/atom

abc: 7.218 5.101 7.218
angles: 90.00 90.00 90.00
Site moments in Bohr magnetons follow the coordinates.
Atoms (fractional coordinates):
Mo  0.500  0.500  0.500  4.06
Se  0.000  0.500  0.000  -0.06
Rb  0.000  0.000  0.500  0.04
Rb  0.500  0.000  0.000  0.04
Zr  0.000  0.000  0.000  1.28